Record 1
A relaxed structure of Co2SbBr. Source: Alexandria via LeMat-Bulk, functional PBE-GGA.

Unit cell a=4.511 b=4.511 c=4.511 alpha=60.00 beta=60.00 gamma=60.00
Each line ends with the local moment (μB).
Atoms (fractional coordinates):
Sb 0.500 0.500 0.500  -0.04
Co 0.250 0.250 0.250  0.75
Co 0.750 0.750 0.750  0.75
Br 0.000 0.000 0.000  0.00

Summary:
- raw total energy (eV per atom) = -4.3772
- SG = No. 225

Record 2
A relaxed structure of TmZnGaIr. Source: Alexandria via LeMat-Bulk, functional PBE-GGA.

Unit cell a=4.549 b=4.549 c=4.549 alpha=60.00 beta=60.00 gamma=60.00
Atoms (fractional coordinates):
Zn 0.000 0.000 0.000
Ir 0.750 0.750 0.750
Tm 0.250 0.250 0.250
Ga 0.500 0.500 0.500

Summary:
- ΔH_f (0 K) (eV per atom) = -0.525
- SG = No. 216

Record 3
A relaxed structure of NpAl2Au10. Source: Alexandria via LeMat-Bulk, functional PBE-GGA.

Unit cell a=5.598 b=7.372 c=7.076 alpha=81.36 beta=66.70 gamma=67.69
Each line ends with the local moment (μB).
Atoms (fractional coordinates):
Np 0.000 0.000 0.000  4.04
Al 0.000 0.500 0.000  0.00
Al 0.500 0.500 0.000  0.00
Au 0.328 0.656 0.687  0.01
Au 0.672 0.344 0.313  0.01
Au 0.985 0.344 0.687  0.01
Au 0.015 0.656 0.313  0.01
Au 0.000 0.000 0.500  0.01
Au 0.500 0.000 0.500  0.01
Au 0.280 0.228 0.212  0.01
Au 0.720 0.772 0.788  0.01
Au 0.508 0.772 0.212  0.01
Au 0.492 0.228 0.788  0.01

Summary:
- ΔH_f (0 K) (eV per atom) = -0.187
- SG = No. 69

no.,Fermi-level density of states (states/eV/cell),total moment (Bohr magnetons per cell)
1,7.5,1.3
2,2.9,0.0
3,13.9,4.4